Record 1
NaSn6Ge, relaxed, DFT PBE-GGA; formation energy = 0.02 eV/atom; total moment = 0.00 μB per formula unit; theoretical density = 6.4 g cm⁻³
1.0
6.312 0.340 -0.937
-1.332 5.668 -1.830
0.183 -0.725 6.058
Sn Na Ge
6 1 1
Direct
0.755 0.339 0.900
0.554 0.740 0.740
0.756 0.900 0.339
0.446 0.260 0.260
0.244 0.100 0.661
0.245 0.661 0.100
0.000 0.500 0.500
0.000 0.000 0.000

Record 2
CeNd2ErBi5, relaxed, DFT PBE-GGA; formation energy = -0.05 eV/atom; total moment = 0.00 μB per formula unit; theoretical density = 7.4 g cm⁻³
1.0
-3.160 1.976 -4.153
3.737 -1.835 -3.716
-5.694 -10.374 -0.603
Er Bi Ce Nd
1 5 1 2
Direct
0.000 0.000 0.000
0.000 0.000 0.244
0.000 0.000 0.756
0.500 0.000 0.500
0.500 0.500 0.000
0.000 0.500 0.500
0.000 0.000 0.500
0.500 0.500 0.722
0.500 0.500 0.278

Record 3
Ac8Nd4Mg, relaxed, DFT PBE-GGA; formation energy = 0.42 eV/atom; total moment = 0.00 μB per formula unit; theoretical density = 6.9 g cm⁻³
1.0
-5.465 -10.475 0.341
10.215 1.149 -5.834
2.659 5.468 5.732
Ac Nd Mg
8 4 1
Direct
0.490 0.245 0.245
0.999 0.245 0.245
0.001 0.755 0.755
0.510 0.755 0.755
0.999 0.754 0.245
0.001 0.246 0.755
0.510 0.755 0.265
0.490 0.245 0.735
0.000 0.000 0.000
0.000 0.500 0.000
0.500 0.500 0.000
0.500 0.000 0.000
0.000 0.500 0.500

Record 4
Pr6Zn5Ag, relaxed, DFT PBE-GGA; formation energy = -0.29 eV/atom; total moment = 0.00 μB per formula unit; theoretical density = 6.9 g cm⁻³
1.0
5.060 -0.004 -1.419
-3.792 7.379 -3.817
-0.188 -1.060 9.069
Zn Pr Ag
5 6 1
Direct
0.500 0.168 0.832
0.000 0.667 0.333
0.500 0.500 0.500
0.500 0.832 0.168
0.000 0.333 0.667
0.755 0.255 0.255
0.748 0.580 0.916
0.245 0.745 0.745
0.748 0.916 0.580
0.252 0.084 0.420
0.252 0.420 0.084
0.000 0.000 0.000

> Among the records above, which one has the lowest formation energy?

Pr6Zn5Ag

> Which of these has the lowest formation energy?

Pr6Zn5Ag

Copy entry 4 word for word.
Pr6Zn5Ag, relaxed, DFT PBE-GGA; formation energy = -0.29 eV/atom; total moment = 0.00 μB per formula unit; theoretical density = 6.9 g cm⁻³
1.0
5.060 -0.004 -1.419
-3.792 7.379 -3.817
-0.188 -1.060 9.069
Zn Pr Ag
5 6 1
Direct
0.500 0.168 0.832
0.000 0.667 0.333
0.500 0.500 0.500
0.500 0.832 0.168
0.000 0.333 0.667
0.755 0.255 0.255
0.748 0.580 0.916
0.245 0.745 0.745
0.748 0.916 0.580
0.252 0.084 0.420
0.252 0.420 0.084
0.000 0.000 0.000